# 1
# MgScPdRu | Alexandria via LeMat-Bulk | PBE | relaxed
data_MgScPdRu
_cell_length_a 6.395
_cell_length_b 6.395
_cell_length_c 6.395
_cell_angle_alpha 90.00
_cell_angle_beta 90.00
_cell_angle_gamma 90.00
_space_group_name_H-M_alt 'F -4 3 m'
_space_group_IT_number 216
_space_group_name_Hall 'F -4 2 3'
loop_
_atom_site_label
_atom_site_fract_x
_atom_site_fract_y
_atom_site_fract_z
Mg1 0.000 0.000 0.000
Sc1 0.000 0.000 0.500
Pd1 0.250 0.250 0.250
Ru1 0.250 0.250 0.750
# excess energy over the best structure of this formula in the dataset	0.0292	eV/atom
# ΔE_f	-0.5449	eV/atom
# E_tot	-6.144	eV/atom

=====

# 2
# MgScPdRu | Alexandria via LeMat-Bulk | PBE | relaxed
data_MgScPdRu
_cell_length_a 3.238
_cell_length_b 3.238
_cell_length_c 6.291
_cell_angle_alpha 90.00
_cell_angle_beta 90.00
_cell_angle_gamma 90.00
_space_group_name_H-M_alt 'P 4 m m'
_space_group_IT_number 99
loop_
_space_group_symop_operation_xyz
'x,y,z'
'-y,x,z'
'-x,-y,z'
'y,-x,z'
'-x,y,z'
'y,x,z'
'x,-y,z'
'-y,-x,z'
loop_
_atom_site_label
_atom_site_fract_x
_atom_site_fract_y
_atom_site_fract_z
Mg1 0.000 0.000 0.000
Sc1 0.000 0.000 0.525
Pd1 0.500 0.500 0.248
Ru1 0.500 0.500 0.756
# excess energy over the best structure of this formula in the dataset	0.0000	eV/atom
# ΔE_f	-0.5741	eV/atom
# E_tot	-6.173	eV/atom

=====

# 3
# MgSnPdRu2 | Alexandria via LeMat-Bulk | PBE | relaxed
data_MgSnPdRu2
_cell_length_a 4.581
_cell_length_b 4.581
_cell_length_c 4.473
_cell_angle_alpha 90.00
_cell_angle_beta 90.00
_cell_angle_gamma 90.00
_space_group_name_H-M_alt 'P 4/m m m'
_space_group_IT_number 123
_space_group_name_Hall '-P 4 2'
loop_
_atom_site_label
_atom_site_fract_x
_atom_site_fract_y
_atom_site_fract_z
Mg1 0.000 0.000 0.000
Sn1 0.500 0.500 0.500
Pd1 0.000 0.000 0.500
Ru1 0.000 0.500 0.000
# ΔE_f	1.0252	eV/atom
# E_tot	-4.843	eV/atom

=====

# 4
# MgSnPdRu | Alexandria via LeMat-Bulk | PBE | relaxed
data_MgSnPdRu
_cell_length_a 6.393
_cell_length_b 6.393
_cell_length_c 6.393
_cell_angle_alpha 90.00
_cell_angle_beta 90.00
_cell_angle_gamma 90.00
_space_group_name_H-M_alt 'F -4 3 m'
_space_group_IT_number 216
_space_group_name_Hall 'F -4 2 3'
loop_
_atom_site_label
_atom_site_fract_x
_atom_site_fract_y
_atom_site_fract_z
Mg1 0.000 0.000 0.000
Sn1 0.000 0.000 0.500
Pd1 0.250 0.250 0.250
Ru1 0.250 0.250 0.750
# ΔE_f	-0.4031	eV/atom
# E_tot	-5.420	eV/atom

=====

# 5
# ThMgPdRu | Alexandria via LeMat-Bulk | PBE | relaxed
data_ThMgPdRu
_cell_length_a 6.820
_cell_length_b 6.820
_cell_length_c 6.820
_cell_angle_alpha 90.00
_cell_angle_beta 90.00
_cell_angle_gamma 90.00
_space_group_name_H-M_alt 'F -4 3 m'
_space_group_IT_number 216
_space_group_name_Hall 'F -4 2 3'
loop_
_atom_site_label
_atom_site_fract_x
_atom_site_fract_y
_atom_site_fract_z
Th1 0.000 0.000 0.000
Mg1 0.000 0.000 0.500
Pd1 0.250 0.250 0.250
Ru1 0.250 0.250 0.750
# ΔE_f	-0.4621	eV/atom
# E_tot	-6.333	eV/atom

=====

# 6
# MgVPdRu | Alexandria via LeMat-Bulk | PBE | relaxed
data_MgVPdRu
_cell_length_a 6.164
_cell_length_b 6.164
_cell_length_c 6.164
_cell_angle_alpha 90.00
_cell_angle_beta 90.00
_cell_angle_gamma 90.00
_space_group_name_H-M_alt 'F -4 3 m'
_space_group_IT_number 216
_space_group_name_Hall 'F -4 2 3'
loop_
_atom_site_label
_atom_site_fract_x
_atom_site_fract_y
_atom_site_fract_z
Mg1 0.000 0.000 0.000
V1 0.000 0.000 0.500
Pd1 0.250 0.250 0.250
Ru1 0.250 0.250 0.750
# ΔE_f	-0.2289	eV/atom
# E_tot	-6.524	eV/atom

=====

# 7
# MgZnPdRu | Alexandria via LeMat-Bulk | PBE | relaxed
data_MgZnPdRu
_cell_length_a 6.178
_cell_length_b 6.178
_cell_length_c 6.178
_cell_angle_alpha 90.00
_cell_angle_beta 90.00
_cell_angle_gamma 90.00
_space_group_name_H-M_alt 'F -4 3 m'
_space_group_IT_number 216
_space_group_name_Hall 'F -4 2 3'
loop_
_atom_site_label
_atom_site_fract_x
_atom_site_fract_y
_atom_site_fract_z
Mg1 0.000 0.000 0.000
Zn1 0.000 0.000 0.500
Pd1 0.250 0.250 0.250
Ru1 0.250 0.250 0.750
# ΔE_f	-0.2239	eV/atom
# E_tot	-4.558	eV/atom

=====

# 8
# MgZrPdRu | Alexandria via LeMat-Bulk | PBE | relaxed
data_MgZrPdRu
_cell_length_a 6.467
_cell_length_b 6.467
_cell_length_c 6.467
_cell_angle_alpha 90.00
_cell_angle_beta 90.00
_cell_angle_gamma 90.00
_space_group_name_H-M_alt 'F -4 3 m'
_space_group_IT_number 216
_space_group_name_Hall 'F -4 2 3'
loop_
_atom_site_label
_atom_site_fract_x
_atom_site_fract_y
_atom_site_fract_z
Mg1 0.000 0.000 0.000
Zr1 0.000 0.000 0.500
Pd1 0.250 0.250 0.750
Ru1 0.250 0.250 0.250
# ΔE_f	-0.5378	eV/atom
# E_tot	-6.691	eV/atom

=====

# 9
# Mg2Pd2S | Alexandria via LeMat-Bulk | PBE | relaxed
data_Mg2Pd2S
_cell_length_a 6.775
_cell_length_b 6.775
_cell_length_c 3.737
_cell_angle_alpha 90.00
_cell_angle_beta 90.00
_cell_angle_gamma 90.00
_space_group_name_H-M_alt 'P 4/m b m'
_space_group_IT_number 127
_space_group_name_Hall '-P 4 2ab'
loop_
_atom_site_label
_atom_site_fract_x
_atom_site_fract_y
_atom_site_fract_z
Mg1 0.161 0.339 0.000
Pd1 0.144 0.644 0.500
S1 0.000 0.000 0.500
# excess energy over the best structure of this formula in the dataset	0.0000	eV/atom
# raw formation energy	-50.20	kJ/mol of atoms
# E_tot	-4.061	eV/atom

=====

# 10
# Mg3PdS | Alexandria via LeMat-Bulk | PBE | relaxed
data_Mg3PdS
_cell_length_a 4.927
_cell_length_b 4.927
_cell_length_c 4.927
_cell_angle_alpha 90.00
_cell_angle_beta 90.00
_cell_angle_gamma 90.00
_space_group_name_H-M_alt 'P m -3 m'
_space_group_IT_number 221
_space_group_name_Hall '-P 4 2 3'
loop_
_atom_site_label
_atom_site_fract_x
_atom_site_fract_y
_atom_site_fract_z
Mg1 0.000 0.000 0.500
Pd1 0.000 0.000 0.000
S1 0.500 0.500 0.500
# excess energy over the best structure of this formula in the dataset	0.1017	eV/atom
# raw formation energy	-12.88	kJ/mol of atoms
# E_tot	-2.954	eV/atom

=====

# 11
# Mg2Pd2S | Alexandria via LeMat-Bulk | PBE | relaxed
data_Mg2Pd2S
_cell_length_a 4.089
_cell_length_b 4.089
_cell_length_c 11.492
_cell_angle_alpha 90.00
_cell_angle_beta 90.00
_cell_angle_gamma 90.00
_space_group_name_H-M_alt 'I 4/m m m'
_space_group_IT_number 139
_space_group_name_Hall '-I 4 2'
loop_
_atom_site_label
_atom_site_fract_x
_atom_site_fract_y
_atom_site_fract_z
Mg1 0.000 0.500 0.250
Pd1 0.000 0.000 0.112
S1 0.000 0.000 0.500
# excess energy over the best structure of this formula in the dataset	0.5250	eV/atom
# raw formation energy	0.45	kJ/mol of atoms
# E_tot	-3.536	eV/atom

=====

# 12
# Mg3PdS | Alexandria via LeMat-Bulk | PBE | relaxed
data_Mg3PdS
_cell_length_a 4.724
_cell_length_b 4.724
_cell_length_c 4.724
_cell_angle_alpha 90.00
_cell_angle_beta 90.00
_cell_angle_gamma 90.00
_space_group_name_H-M_alt 'P m -3 m'
_space_group_IT_number 221
_space_group_name_Hall '-P 4 2 3'
loop_
_atom_site_label
_atom_site_fract_x
_atom_site_fract_y
_atom_site_fract_z
Mg1 0.000 0.000 0.500
Pd1 0.500 0.500 0.500
S1 0.000 0.000 0.000
# excess energy over the best structure of this formula in the dataset	0.0000	eV/atom
# raw formation energy	-22.69	kJ/mol of atoms
# E_tot	-3.056	eV/atom

=====

# 13
# MgPd2S2 | Alexandria via LeMat-Bulk | PBE | relaxed
data_MgPd2S2
_cell_length_a 6.791
_cell_length_b 6.791
_cell_length_c 3.585
_cell_angle_alpha 90.00
_cell_angle_beta 90.00
_cell_angle_gamma 90.00
_space_group_name_H-M_alt 'P 4/m b m'
_space_group_IT_number 127
_space_group_name_Hall '-P 4 2ab'
loop_
_atom_site_label
_atom_site_fract_x
_atom_site_fract_y
_atom_site_fract_z
Mg1 0.000 0.000 0.000
Pd1 0.153 0.347 0.500
S1 0.168 0.668 0.000
# raw formation energy	-34.60	kJ/mol of atoms
# E_tot	-4.406	eV/atom

=====

# 14
# Mg2Pd4S | Alexandria via LeMat-Bulk | PBE | relaxed
data_Mg2Pd4S
_cell_length_a 4.421
_cell_length_b 4.421
_cell_length_c 13.789
_cell_angle_alpha 90.00
_cell_angle_beta 90.00
_cell_angle_gamma 90.00
_space_group_name_H-M_alt 'I 4/m m m'
_space_group_IT_number 139
_space_group_name_Hall '-I 4 2'
loop_
_atom_site_label
_atom_site_fract_x
_atom_site_fract_y
_atom_site_fract_z
Mg1 0.000 0.000 0.140
Pd1 0.000 0.000 0.329
Pd2 0.000 0.500 0.000
S1 0.000 0.000 0.500
# raw formation energy	-20.36	kJ/mol of atoms
# E_tot	-4.224	eV/atom

=====

# 15
# MgPd2S | Alexandria via LeMat-Bulk | PBE | relaxed
data_MgPd2S
_cell_length_a 3.891
_cell_length_b 3.891
_cell_length_c 17.672
_cell_angle_alpha 90.00
_cell_angle_beta 90.00
_cell_angle_gamma 90.00
_space_group_name_H-M_alt 'I -4 2 d'
_space_group_IT_number 122
_space_group_name_Hall 'I -4 2bw'
loop_
_atom_site_label
_atom_site_fract_x
_atom_site_fract_y
_atom_site_fract_z
Mg1 0.000 0.000 0.000
Pd1 0.236 0.250 0.625
S1 0.000 0.000 0.500
# raw formation energy	-37.41	kJ/mol of atoms
# E_tot	-4.415	eV/atom

=====

# 16
# MgPd3S | Alexandria via LeMat-Bulk | PBE | relaxed
data_MgPd3S
_cell_length_a 4.511
_cell_length_b 4.511
_cell_length_c 4.511
_cell_angle_alpha 90.00
_cell_angle_beta 90.00
_cell_angle_gamma 90.00
_space_group_name_H-M_alt 'P m -3 m'
_space_group_IT_number 221
_space_group_name_Hall '-P 4 2 3'
loop_
_atom_site_label
_atom_site_fract_x
_atom_site_fract_y
_atom_site_fract_z
Mg1 0.000 0.000 0.000
Pd1 0.000 0.500 0.500
S1 0.500 0.500 0.500
# excess energy over the best structure of this formula in the dataset	0.0000	eV/atom
# raw formation energy	-32.48	kJ/mol of atoms
# E_tot	-4.597	eV/atom

=====

# 17
# MgPd3S | Alexandria via LeMat-Bulk | PBE | relaxed
data_MgPd3S
_cell_length_a 4.633
_cell_length_b 4.633
_cell_length_c 4.633
_cell_angle_alpha 90.00
_cell_angle_beta 90.00
_cell_angle_gamma 90.00
_space_group_name_H-M_alt 'P m -3 m'
_space_group_IT_number 221
_space_group_name_Hall '-P 4 2 3'
loop_
_atom_site_label
_atom_site_fract_x
_atom_site_fract_y
_atom_site_fract_z
Mg1 0.000 0.000 0.000
Pd1 0.000 0.000 0.500
S1 0.500 0.500 0.500
# excess energy over the best structure of this formula in the dataset	1.0606	eV/atom
# raw formation energy	69.85	kJ/mol of atoms
# E_tot	-3.536	eV/atom

=====

# 18
# Mg2ScPdS | Alexandria via LeMat-Bulk | PBE | relaxed
data_Mg2ScPdS
_cell_length_a 5.687
_cell_length_b 5.687
_cell_length_c 4.606
_cell_angle_alpha 90.00
_cell_angle_beta 90.00
_cell_angle_gamma 90.00
_space_group_name_H-M_alt 'P 4/m m m'
_space_group_IT_number 123
_space_group_name_Hall '-P 4 2'
loop_
_atom_site_label
_atom_site_fract_x
_atom_site_fract_y
_atom_site_fract_z
Mg1 0.000 0.500 0.000
Sc1 0.000 0.000 0.000
Pd1 0.500 0.500 0.500
S1 0.000 0.000 0.500
# raw formation energy	40.56	kJ/mol of atoms
# E_tot	-3.348	eV/atom

=====

# 19
# MgSbPd | Alexandria via LeMat-Bulk | PBE | relaxed
data_MgSbPd
_cell_length_a 4.5744
_cell_length_b 4.5744
_cell_length_c 3.3866
_cell_angle_alpha 90.00
_cell_angle_beta 90.00
_cell_angle_gamma 120.00
_space_group_name_H-M_alt 'P -6 m 2'
_space_group_IT_number 187
_space_group_name_Hall 'P -6 2'
loop_
_atom_site_label
_atom_site_fract_x
_atom_site_fract_y
_atom_site_fract_z
Mg1 0.0000 0.0000 0.0000
Sb1 0.3333 0.6667 0.5000
Pd1 0.6667 0.3333 0.5000
# raw formation energy	-39.51	kJ/mol of atoms
# E_tot	-4.046	eV/atom

=====

# 20
# Mg3SbPd4 | Alexandria via LeMat-Bulk | PBE | relaxed
data_Mg3SbPd4
_cell_length_a 4.5690
_cell_length_b 4.5690
_cell_length_c 22.3095
_cell_angle_alpha 90.00
_cell_angle_beta 90.00
_cell_angle_gamma 120.00
_space_group_name_H-M_alt 'R -3 m'
_space_group_IT_number 166
_space_group_name_Hall '-R 3 2"'
loop_
_atom_site_label
_atom_site_fract_x
_atom_site_fract_y
_atom_site_fract_z
Mg1 0.0000 0.0000 0.0000
Mg2 0.0000 0.0000 0.2526
Sb1 0.0000 0.0000 0.5000
Pd1 0.0000 0.0000 0.1251
Pd2 0.0000 0.0000 0.3745
# raw formation energy	-66.15	kJ/mol of atoms
# E_tot	-4.395	eV/atom